No. 1
# Ga5Pd12Au2

A geometry-optimized Ga5Pd12Au2 structure (PBE-GGA, the Alexandria database).

Crystal system   monoclinic
Energy of formation from the pure elements   -0.3307 eV per atom

a = 7.753 Å, b = 7.753 Å, c = 8.337 Å
α = 103.04°, β = 103.04°, γ = 41.90°
Element x y z (fractional)
Ga  0.000  0.000  0.000
Ga  0.307  0.307  0.134
Ga  0.354  0.354  0.641
Ga  0.646  0.646  0.359
Ga  0.693  0.693  0.866
Pd  0.049  0.556  0.384
Pd  0.090  0.090  0.790
Pd  0.097  0.597  0.903
Pd  0.403  0.903  0.097
Pd  0.444  0.951  0.616
Pd  0.486  0.486  0.164
Pd  0.514  0.514  0.836
Pd  0.556  0.049  0.384
Pd  0.597  0.097  0.903
Pd  0.903  0.403  0.097
Pd  0.910  0.910  0.210
Pd  0.951  0.444  0.616
Au  0.252  0.748  0.500
Au  0.748  0.252  0.500



No. 2
# CdCoN2

A geometry-optimized CdCoN2 structure (PBE-GGA, the Alexandria database).

Crystal system   tetragonal
E_form (uncorrected)   0.52 eV per atom

a = 4.885 Å, b = 4.885 Å, c = 8.500 Å
α = 90.00°, β = 90.00°, γ = 90.00°
Element x y z (fractional)
Cd  0.000  0.000  0.000
Cd  0.000  0.500  0.250
Cd  0.500  0.000  0.750
Cd  0.500  0.500  0.500
Co  0.000  0.000  0.500
Co  0.000  0.500  0.750
Co  0.500  0.000  0.250
Co  0.500  0.500  0.000
N  0.168  0.250  0.625
N  0.250  0.668  0.875
N  0.250  0.832  0.375
N  0.332  0.250  0.125
N  0.668  0.750  0.125
N  0.750  0.168  0.375
N  0.750  0.332  0.875
N  0.832  0.750  0.625



No. 3
# Y3HoEr4Se8

A geometry-optimized Y3HoEr4Se8 structure (PBE-GGA, the Alexandria database).

Crystal system   trigonal
E_form (uncorrected)   -1.72 eV per atom

a = 8.125 Å, b = 8.125 Å, c = 8.125 Å
α = 59.88°, β = 59.88°, γ = 59.88°
Element x y z (fractional)
Y  0.000  0.500  0.500
Y  0.500  0.000  0.500
Y  0.500  0.500  0.000
Ho  0.000  0.000  0.000
Er  0.000  0.000  0.500
Er  0.000  0.500  0.000
Er  0.500  0.000  0.000
Er  0.500  0.500  0.500
Se  0.247  0.749  0.749
Se  0.248  0.248  0.248
Se  0.251  0.251  0.753
Se  0.251  0.753  0.251
Se  0.749  0.247  0.749
Se  0.749  0.749  0.247
Se  0.752  0.752  0.752
Se  0.753  0.251  0.251



No. 4
# Sc3GaTe4

A geometry-optimized Sc3GaTe4 structure (PBE-GGA, the Alexandria database).

Crystal system   orthorhombic
E_form (uncorrected)   -0.79 eV per atom

a = 5.925 Å, b = 9.594 Å, c = 9.086 Å
α = 90.00°, β = 90.00°, γ = 90.00°
Element x y z (fractional)
Sc  0.250  0.009  0.163
Sc  0.250  0.250  0.697
Sc  0.250  0.491  0.163
Sc  0.750  0.509  0.837
Sc  0.750  0.750  0.303
Sc  0.750  0.991  0.837
Ga  0.250  0.750  0.643
Ga  0.750  0.250  0.357
Te  0.250  0.250  0.367
Te  0.250  0.515  0.846
Te  0.250  0.750  0.312
Te  0.250  0.985  0.846
Te  0.750  0.015  0.154
Te  0.750  0.250  0.688
Te  0.750  0.485  0.154
Te  0.750  0.750  0.633



No. 5
# UTl5S4

A geometry-optimized UTl5S4 structure (PBE-GGA, the Alexandria database).

Crystal system   monoclinic
E_form (uncorrected)   -0.62 eV per atom

a = 9.434 Å, b = 9.434 Å, c = 8.501 Å
α = 105.97°, β = 105.97°, γ = 24.89°
Element x y z (fractional)
U  0.000  0.000  0.000
Tl  0.000  0.000  0.500
Tl  0.325  0.325  0.671
Tl  0.341  0.341  0.198
Tl  0.659  0.659  0.802
Tl  0.675  0.675  0.329
S  0.152  0.152  0.062
S  0.490  0.490  0.781
S  0.510  0.510  0.219
S  0.848  0.848  0.938



No. 6
# YNiAu2

A geometry-optimized YNiAu2 structure (PBE-GGA, the Alexandria database).

Crystal system   trigonal
Energy of formation from the pure elements   -0.4892 eV per atom

a = 4.489 Å, b = 4.489 Å, c = 13.548 Å
α = 90.00°, β = 90.00°, γ = 120.00°
Element x y z (fractional)
Y  0.000  0.000  0.000
Y  0.333  0.667  0.667
Y  0.667  0.333  0.333
Ni  0.000  0.000  0.796
Ni  0.333  0.667  0.463
Ni  0.667  0.333  0.130
Au  0.000  0.000  0.220
Au  0.000  0.000  0.455
Au  0.333  0.667  0.122
Au  0.333  0.667  0.887
Au  0.667  0.333  0.553
Au  0.667  0.333  0.788